(1)
A plane-wave DFT calculation with PBEsol was carried out for LiZr2Te after structural relaxation.

Cell and atoms, written as CIF:
```
data_LiZr2Te
_chemical_formula_sum 'Li1 Zr2 Te1'
_symmetry_space_group_name_H-M 'P m m 2'
_symmetry_Int_Tables_number 25
_symmetry_space_group_name_Hall 'P 2 -2'
_cell_length_a 3.594
_cell_length_b 3.741
_cell_length_c 6.249
_cell_angle_alpha 90.00
_cell_angle_beta 90.00
_cell_angle_gamma 90.00
loop_
_atom_site_label
_atom_site_type_symbol
_atom_site_fract_x
_atom_site_fract_y
_atom_site_fract_z
Li1 Li 0.000 0.000 0.000
Zr1 Zr 0.000 0.000 0.483
Zr2 Zr 0.500 0.500 0.732
Te1 Te 0.500 0.500 0.227
```

Summary:
E_form (uncorrected) ... -0.3522 eV per atom


(2)
A plane-wave DFT calculation with PBEsol was carried out for Be3WAu after structural relaxation.

Cell and atoms, written as CIF:
```
data_Be3WAu
_chemical_formula_sum 'Be3 W1 Au1'
_symmetry_space_group_name_H-M 'P m -3 m'
_symmetry_Int_Tables_number 221
_symmetry_space_group_name_Hall '-P 4 2 3'
_cell_length_a 4.124
_cell_length_b 4.124
_cell_length_c 4.124
_cell_angle_alpha 90.00
_cell_angle_beta 90.00
_cell_angle_gamma 90.00
loop_
_atom_site_label
_atom_site_type_symbol
_atom_site_fract_x
_atom_site_fract_y
_atom_site_fract_z
Be1 Be 0.000 0.000 0.500
W1 W 0.500 0.500 0.500
Au1 Au 0.000 0.000 0.000
```

Summary:
Energy above the lowest structure with this stoichiometry ... 0 meV per atom
Calculated formation energy ... 1.164 eV per atom


(3)
A plane-wave DFT calculation with PBEsol was carried out for YScBe2 after structural relaxation.

Cell and atoms, written as CIF:
```
data_YScBe2
_chemical_formula_sum 'Y2 Sc2 Be4'
_symmetry_space_group_name_H-M 'A m m 2'
_symmetry_Int_Tables_number 38
_symmetry_space_group_name_Hall 'A 2 -2'
_cell_length_a 3.918
_cell_length_b 3.362
_cell_length_c 10.930
_cell_angle_alpha 90.00
_cell_angle_beta 90.00
_cell_angle_gamma 90.00
loop_
_atom_site_label
_atom_site_type_symbol
_atom_site_fract_x
_atom_site_fract_y
_atom_site_fract_z
Y1 Y 0.000 0.000 0.000
Sc1 Sc 0.500 0.000 0.706
Be1 Be 0.000 0.000 0.286
Be2 Be 0.500 0.000 0.390
```

Summary:
Energy above the lowest structure with this stoichiometry ... 0 meV per atom
Calculated formation energy ... 0.051 eV per atom


(4)
A plane-wave DFT calculation with PBEsol was carried out for SnTe2MoP after structural relaxation.

Cell and atoms, written as CIF:
```
data_SnTe2MoP
_chemical_formula_sum 'Sn1 Te2 Mo1 P1'
_symmetry_space_group_name_H-M 'P 4/m m m'
_symmetry_Int_Tables_number 123
_symmetry_space_group_name_Hall '-P 4 2'
_cell_length_a 5.090
_cell_length_b 5.090
_cell_length_c 4.981
_cell_angle_alpha 90.00
_cell_angle_beta 90.00
_cell_angle_gamma 90.00
loop_
_atom_site_label
_atom_site_type_symbol
_atom_site_fract_x
_atom_site_fract_y
_atom_site_fract_z
Sn1 Sn 0.000 0.000 0.000
Te1 Te 0.000 0.500 0.500
Mo1 Mo 0.500 0.500 0.000
P1 P 0.000 0.000 0.500
```

Summary:
E_form (uncorrected) ... 1.0959 eV per atom